[1]
## ScCrW2 (GGA-PBE)

Data for ScCrW2 after structural relaxation.

Cell: 2.7583 2.7583 8.9586 Å, 90.00 90.00 109.63°
Element x y z (fractional)
Cr (0.5000, 0.5000, 0.2500)
Sc (0.5000, 0.5000, 0.7500)
W (0.0000, 0.0000, 0.0252)
W (0.0000, 0.0000, 0.4748)

Values from the calculation:
**Space-group type**: No. 65
**N(E_F)**: 4.38 states/eV/f.u.
**Polymorph energy (0 for the lowest one)**: 60.7 meV/atom



[2]
## Sc2CrW (GGA-PBE)

Data for Sc2CrW after structural relaxation.

Cell: 3.1313 3.1313 7.5839 Å, 90.00 90.00 90.00°
Element x y z (fractional)
Cr (0.5000, 0.5000, 0.7153)
Sc (0.0000, 0.0000, 0.9428)
Sc (0.5000, 0.5000, 0.2976)
W (0.0000, 0.0000, 0.5443)

Values from the calculation:
**Space-group type**: No. 99
**N(E_F)**: 5.19 states/eV/f.u.
**Polymorph energy (0 for the lowest one)**: 0.0 meV/atom



[3]
## ScCrW (GGA-PBE)

Data for ScCrW after structural relaxation.

Cell: 7.0293 6.8174 2.8237 Å, 82.48 74.05 23.47°
Element x y z (fractional)
Cr (0.0098, 0.0098, 0.9902)
Sc (0.3387, 0.3387, 0.6613)
W (0.6515, 0.6515, 0.3485)

Values from the calculation:
**Space-group type**: No. 42
**N(E_F)**: 3.82 states/eV/f.u.
**Polymorph energy (0 for the lowest one)**: 233.3 meV/atom